Entry 1:
Compound: Li3Ho4Te8
Source: the Alexandria database
Functional: PBE
Structure: relaxed

Values from the calculation:
The formation energy from raw total energies comes out at -17.82 eV per formula unit. The calculated volume is 905.6 Å³ per cell. For the density of states at the Fermi level, the calculation gives 0.49 states/eV/atom.

abc: 12.062 12.240 8.574
angles: 90.00 134.32 90.00
Space group C2/m (No. 12)
Unique sites:
1 Li 0.000 0.000 0.000 (multiplicity 2)
2 Li 0.250 0.250 0.000 (multiplicity 4)
3 Ho 0.000 0.500 0.000 (multiplicity 2)
4 Ho 0.000 0.500 0.500 (multiplicity 2)
5 Ho 0.250 0.250 0.500 (multiplicity 4)
6 Te 0.000 0.248 0.000 (multiplicity 4)
7 Te 0.000 0.249 0.500 (multiplicity 4)
8 Te 0.241 0.000 0.497 (multiplicity 4)
9 Te 0.249 0.500 0.995 (multiplicity 4)

=====

Entry 2:
Compound: LiHo2Te
Source: the Alexandria database
Functional: PBE
Structure: relaxed

Values from the calculation:
The formation energy from raw total energies comes out at -0.82 eV per formula unit. The calculated volume is 406.0 Å³ per cell. For the density of states at the Fermi level, the calculation gives 0.85 states/eV/atom. The offset from the most stable computed form comes out at 0.313 eV per atom.

abc: 3.8276 3.8276 31.9962
angles: 90.00 90.00 120.00
Space group R-3m (No. 166, hexagonal axes)
Unique sites:
1 Li 0.0000 0.0000 0.0000 (multiplicity 3)
2 Ho 0.0000 0.0000 0.1027 (multiplicity 6)
3 Te 0.0000 0.0000 0.5000 (multiplicity 3)